Entry from Alexandria via LeMat-Bulk: crystalline ZrCr2SF at its relaxed geometry (GGA+U).

Unit cell a=3.9937 b=3.9937 c=5.6418 alpha=90.00 beta=90.00 gamma=90.00
Last column: nearest neighbours and their distance in Å.
Space group P4/mmm (No. 123)
Symmetry-distinct sites (fractional):
Zr (0.0000, 0.0000, 0.0000) x1  4 S 2.82
Cr (0.0000, 0.5000, 0.5000) x2  2 F 2.00
S (0.5000, 0.5000, 0.0000) x1  2 F 2.82, 4 Zr 2.82
F (0.5000, 0.5000, 0.5000) x1  4 Cr 2.00

Results
The total energy comes out at -6.342 eV/atom.